AlOsO4: optimized geometry, PBE-GGA.

For the calculated total energy, the calculation gives -0.557 Ry per atom. As for the energy above the most stable polymorph in this dataset: 0.00 eV/f.u. The value obtained for the spin magnetization is 3.36 Bohr magnetons per cell.

It has space group I4_1md (No. 109), with a = 6.322 Å, b = 6.322 Å, c = 5.946 Å, α = 90.00°, β = 90.00° and γ = 90.00°. The asymmetric unit holds Al at (0.000, 0.000, 0.000), Os at (0.000, 0.000, 0.513), O at (0.000, 0.301, 0.015) and O at (0.000, 0.305, 0.502).